[1]
YRe3Te: relaxed, PBE. Values from VASP.

Calculated values
* total DFT energy (no corrections): -7.668 eV/atom
* crystal system: cubic
* energy relative to the elements, uncorrected: 1.72 eV/atom
* mass density: 11.26 Mg/m³
* energy above the most stable polymorph in this dataset: 0 meV per atom

Cell and atoms, written as Quantum ESPRESSO input:
```
&SYSTEM
  ibrav = 0, nat = 5, ntyp = 3
/
ATOMIC_SPECIES
Te 127.60 Te.upf
Re 186.21 Re.upf
Y 88.91 Y.upf
CELL_PARAMETERS angstrom
4.854 0.000 0.000
0.000 4.854 0.000
0.000 0.000 4.854
ATOMIC_POSITIONS crystal
Te 0.000 0.000 0.000
Re 0.000 0.500 0.000
Re 0.500 0.000 0.000
Re 0.000 0.000 0.500
Y 0.500 0.500 0.500
```



[2]
YReTe2: relaxed, PBE. Values from VASP.

Calculated values
* total DFT energy (no corrections): -6.428 eV/atom
* crystal system: orthorhombic
* energy relative to the elements, uncorrected: -0.13 eV/atom
* mass density: 9.28 Mg/m³
* energy above the most stable polymorph in this dataset: 104 meV per atom

Cell and atoms, written as Quantum ESPRESSO input:
```
&SYSTEM
  ibrav = 0, nat = 4, ntyp = 3
/
ATOMIC_SPECIES
Y 88.91 Y.upf
Te 127.60 Te.upf
Re 186.21 Re.upf
CELL_PARAMETERS angstrom
6.803 -0.011 0.002
4.503 5.100 -0.002
-5.398 -3.111 2.732
ATOMIC_POSITIONS crystal
Y 0.447 0.447 0.000
Te 0.055 0.055 0.000
Te 0.775 0.275 0.500
Re 0.223 0.723 0.500
```



[3]
YReTe: relaxed, PBE. Values from VASP.

Calculated values
* total DFT energy (no corrections): -6.462 eV/atom
* crystal system: cubic
* energy relative to the elements, uncorrected: 0.89 eV/atom
* mass density: 8.42 Mg/m³
* energy above the most stable polymorph in this dataset: 910 meV per atom

Cell and atoms, written as Quantum ESPRESSO input:
```
&SYSTEM
  ibrav = 0, nat = 3, ntyp = 3
/
ATOMIC_SPECIES
Te 127.60 Te.upf
Y 88.91 Y.upf
Re 186.21 Re.upf
CELL_PARAMETERS angstrom
-3.998 1.407 -2.305
-3.008 -3.292 -1.840
-4.324 -0.711 2.017
ATOMIC_POSITIONS crystal
Te 0.500 0.500 0.500
Y 0.750 0.750 0.750
Re 0.000 0.000 0.000
```



[4]
Y2ReTe: relaxed, PBE. Values from VASP.

Calculated values
* total DFT energy (no corrections): -7.284 eV/atom
* crystal system: trigonal
* energy relative to the elements, uncorrected: -0.15 eV/atom
* mass density: 7.84 Mg/m³

Cell and atoms, written as Quantum ESPRESSO input:
```
&SYSTEM
  ibrav = 0, nat = 4, ntyp = 3
/
ATOMIC_SPECIES
Te 127.60 Te.upf
Re 186.21 Re.upf
Y 88.91 Y.upf
CELL_PARAMETERS angstrom
8.504 -0.008 -0.005
7.647 3.721 -0.005
7.647 1.758 3.280
ATOMIC_POSITIONS crystal
Te 0.750 0.750 0.750
Re 0.250 0.250 0.250
Y 0.505 0.505 0.505
Y 0.995 0.995 0.995
```



[5]
Y2ReTe: relaxed, PBE. Values from VASP.

Calculated values
* total DFT energy (no corrections): -7.072 eV/atom
* crystal system: tetragonal
* energy relative to the elements, uncorrected: 0.06 eV/atom
* mass density: 8.31 Mg/m³

Cell and atoms, written as Quantum ESPRESSO input:
```
&SYSTEM
  ibrav = 0, nat = 4, ntyp = 3
/
ATOMIC_SPECIES
Y 88.91 Y.upf
Te 127.60 Te.upf
Re 186.21 Re.upf
CELL_PARAMETERS angstrom
-0.209 1.596 3.003
-0.141 -3.010 1.590
8.440 -0.066 0.623
ATOMIC_POSITIONS crystal
Y 0.000 0.000 0.964
Y 0.500 0.500 0.304
Te 0.500 0.500 0.697
Re 0.000 0.000 0.534
```



[6]
Y2ReTe: relaxed, PBE. Values from VASP.

Calculated values
* total DFT energy (no corrections): -7.484 eV/atom
* crystal system: tetragonal
* energy relative to the elements, uncorrected: -0.35 eV/atom
* mass density: 8.56 Mg/m³

Cell and atoms, written as Quantum ESPRESSO input:
```
&SYSTEM
  ibrav = 0, nat = 4, ntyp = 3
/
ATOMIC_SPECIES
Y 88.91 Y.upf
Te 127.60 Te.upf
Re 186.21 Re.upf
CELL_PARAMETERS angstrom
-2.587 0.971 2.462
1.419 -2.397 2.437
5.622 2.588 4.887
ATOMIC_POSITIONS crystal
Y 0.000 0.979 0.022
Y 0.000 0.521 0.478
Te 0.500 0.750 0.750
Re 0.500 0.250 0.250
```



Question: Look up the energy relative to the elements, uncorrected of the second one.
Answer: -0.13 eV/atom



Question: Among the records above, which one has the lowest energy relative to the elements, uncorrected?
Answer: number 6